# 1
DFT (PBEsol) results for a relaxed structure of SiHgP.

a b c (Å): 4.4720 4.4720 4.4720
angles (deg): 60.00 60.00 60.00
Last column: nearest neighbours and their distance in Å.
Atoms (fractional coordinates):
Si: 0.0000 0.0000 0.0000  4 Hg 2.74
Hg: 0.2500 0.2500 0.2500  4 P 2.74, 4 Si 2.74
P: 0.5000 0.5000 0.5000  4 Hg 2.74

Calculated values
symmetry: F-43m
uncorrected formation energy: 714 meV per atom

***

# 2
DFT (PBEsol) results for a relaxed structure of SiHgP2.

a b c (Å): 6.6171 6.6171 6.6171
angles (deg): 129.82 129.82 73.69
Last column: nearest neighbours and their distance in Å.
Atoms (fractional coordinates):
Si: 0.0000 0.0000 0.0000  4 P 2.26
Si: 0.7500 0.2500 0.5000  4 P 2.26
Hg: 0.2500 0.7500 0.5000  4 P 2.53
Hg: 0.5000 0.5000 0.0000  4 P 2.53
P: 0.0836 0.6250 0.9586  2 Si 2.26
P: 0.3750 0.3336 0.4586  2 Si 2.26
P: 0.6664 0.1250 0.0414  2 Si 2.26
P: 0.8750 0.9164 0.5414  2 Si 2.26

Calculated values
symmetry: I-42d
uncorrected formation energy: -80 meV per atom

***

# 3
DFT (PBEsol) results for a relaxed structure of Zn2SiHgP.

a b c (Å): 4.7407 4.7407 4.5134
angles (deg): 90.00 90.00 90.00
Last column: nearest neighbours and their distance in Å.
Atoms (fractional coordinates):
Zn: 0.0000 0.5000 0.0000  2 Si 2.37
Zn: 0.5000 0.0000 0.0000  2 Si 2.37
Si: 0.0000 0.0000 0.0000  2 P 2.26, 4 Zn 2.37
Hg: 0.5000 0.5000 0.5000  8 Zn 3.27, 4 P 3.35
P: 0.0000 0.0000 0.5000  2 Si 2.26

Calculated values
symmetry: P4/mmm
uncorrected formation energy: 486 meV per atom

***

# 4
DFT (PBEsol) results for a relaxed structure of SrSnHg2P.

a b c (Å): 5.7204 5.7204 6.1682
angles (deg): 90.00 90.00 90.00
Last column: nearest neighbours and their distance in Å.
Atoms (fractional coordinates):
Sr: 0.0000 0.0000 0.0000  4 Hg 2.86, 2 Sn 3.08
Sn: 0.0000 0.0000 0.5000  2 Sr 3.08
Hg: 0.0000 0.5000 0.0000  2 Sr 2.86
Hg: 0.5000 0.0000 0.0000  2 Sr 2.86
P: 0.5000 0.5000 0.5000  4 Sn 4.04, 8 Hg 4.21

Calculated values
symmetry: P4/mmm
formation energy from the elements: 1.035 eV/atom

***

The evaluated volume for the records listed, in turn: 21.08; 20.84; 20.29; 40.37 A^3/atom.
The evaluated magnetization for the records listed, in turn: 0.000; 0.000; 0.000; 0.127 μB per atom.